Material: Pm3Pr2Tm8
Method: DFT, GGA-PBE
State: relaxed

abc: 11.0065 11.0065 5.5414
angles: 90.01 90.01 40.70
Positions (direct):
Pm (0.0000, 0.0000, 0.0000)
Pm (0.2936, 0.7064, 0.5000)
Pm (0.7064, 0.2936, 0.5000)
Pr (0.2402, 0.2402, 0.9995)
Pr (0.7598, 0.7598, 0.0005)
Tm (0.1285, 0.1285, 0.4999)
Tm (0.1805, 0.6032, 0.9998)
Tm (0.3378, 0.3378, 0.4996)
Tm (0.3968, 0.8195, 0.0002)
Tm (0.6032, 0.1805, 0.9998)
Tm (0.6622, 0.6622, 0.5004)
Tm (0.8195, 0.3968, 0.0002)
Tm (0.8715, 0.8715, 0.5001)

Output
Crystal system ... monoclinic
E above lowest polymorph ... 2.43 eV per formula unit
Symmetry ... No. 12


Material: Pm3PrTm2
Method: DFT, GGA-PBE
State: relaxed

abc: 3.4943 5.9640 19.6460
angles: 90.00 90.00 90.00
Positions (direct):
Pm (0.0000, 0.0000, 0.0000)
Pm (0.0000, 0.5000, 0.1919)
Pm (0.0000, 0.5000, 0.8081)
Pm (0.5000, 0.0000, 0.3081)
Pm (0.5000, 0.0000, 0.6919)
Pm (0.5000, 0.5000, 0.5000)
Pr (0.0000, 0.5000, 0.0000)
Pr (0.5000, 0.0000, 0.5000)
Tm (0.0000, 0.5000, 0.3618)
Tm (0.0000, 0.5000, 0.6382)
Tm (0.5000, 0.0000, 0.1382)
Tm (0.5000, 0.0000, 0.8618)

Output
Crystal system ... orthorhombic
E above lowest polymorph ... 1.96 eV per formula unit
Symmetry ... No. 71


Material: Pm5PrTm4
Method: DFT, GGA-PBE
State: relaxed

abc: 9.2363 9.2363 10.5107
angles: 96.33 96.33 22.32
Positions (direct):
Pm (0.0000, 0.0000, 0.0000)
Pm (0.3107, 0.3107, 0.9036)
Pm (0.3576, 0.3576, 0.2684)
Pm (0.6424, 0.6424, 0.7316)
Pm (0.6893, 0.6893, 0.0964)
Pr (0.0000, 0.0000, 0.5000)
Tm (0.1833, 0.1833, 0.4111)
Tm (0.4537, 0.4537, 0.7398)
Tm (0.5463, 0.5463, 0.2602)
Tm (0.8167, 0.8167, 0.5889)

Output
Crystal system ... monoclinic
E above lowest polymorph ... 1.18 eV per formula unit
Symmetry ... No. 12


Material: Pm7Pr2Tm3
Method: DFT, GGA-PBE
State: relaxed

abc: 5.8760 3.6381 19.0912
angles: 90.00 93.96 90.00
Positions (direct):
Pm (0.0000, 0.0000, 0.0000)
Pm (0.1742, 0.5000, 0.1786)
Pm (0.2587, 0.5000, 0.5360)
Pm (0.3290, 0.0000, 0.8576)
Pm (0.6710, 0.0000, 0.1424)
Pm (0.7413, 0.5000, 0.4640)
Pm (0.8258, 0.5000, 0.8214)
Pr (0.2967, 0.5000, 0.7030)
Pr (0.7033, 0.5000, 0.2970)
Tm (0.2180, 0.0000, 0.3702)
Tm (0.5000, 0.5000, 0.0000)
Tm (0.7820, 0.0000, 0.6298)

Output
Crystal system ... monoclinic
E above lowest polymorph ... 0.26 eV per formula unit
Symmetry ... No. 10


Material: Pm2Pr3Tm2
Method: DFT, GGA-PBE
State: relaxed

abc: 17.8123 3.5501 8.6359
angles: 90.00 118.71 90.00
Positions (direct):
Pm (0.0646, 0.0000, 0.4120)
Pm (0.4354, 0.5000, 0.5880)
Pm (0.5646, 0.5000, 0.4120)
Pm (0.9354, 0.0000, 0.5880)
Pr (0.0000, 0.5000, 0.0000)
Pr (0.2138, 0.5000, 0.2938)
Pr (0.2862, 0.0000, 0.7062)
Pr (0.5000, 0.0000, 0.0000)
Pr (0.7138, 0.0000, 0.2938)
Pr (0.7862, 0.5000, 0.7062)
Tm (0.1456, 0.5000, 0.8291)
Tm (0.3544, 0.0000, 0.1709)
Tm (0.6456, 0.0000, 0.8291)
Tm (0.8544, 0.5000, 0.1709)

Output
Crystal system ... monoclinic
E above lowest polymorph ... 0.71 eV per formula unit
Symmetry ... No. 12


Material: Pm3Pr3Tm
Method: DFT, GGA-PBE
State: relaxed

abc: 9.0100 9.0100 9.0100
angles: 58.43 58.43 58.43
Positions (direct):
Pm (0.0670, 0.2211, 0.5694)
Pm (0.2211, 0.5694, 0.0670)
Pm (0.4306, 0.9330, 0.7789)
Pm (0.5694, 0.0670, 0.2211)
Pm (0.7789, 0.4306, 0.9330)
Pm (0.9330, 0.7789, 0.4306)
Pr (0.2032, 0.4369, 0.6850)
Pr (0.3150, 0.7968, 0.5631)
Pr (0.4369, 0.6850, 0.2032)
Pr (0.5631, 0.3150, 0.7968)
Pr (0.6850, 0.2032, 0.4369)
Pr (0.7968, 0.5631, 0.3150)
Tm (0.1554, 0.1554, 0.1554)
Tm (0.8446, 0.8446, 0.8446)

Output
Crystal system ... trigonal
E above lowest polymorph ... 0.73 eV per formula unit
Symmetry ... No. 148


Material: Pm7Pr2Tm3
Method: DFT, GGA-PBE
State: relaxed

abc: 6.4539 3.5697 17.6563
angles: 90.00 95.90 90.00
Positions (direct):
Pm (0.0000, 0.0000, 0.0000)
Pm (0.2293, 0.5000, 0.1698)
Pm (0.2585, 0.5000, 0.4962)
Pm (0.2780, 0.0000, 0.8368)
Pm (0.7220, 0.0000, 0.1632)
Pm (0.7415, 0.5000, 0.5038)
Pm (0.7707, 0.5000, 0.8302)
Pr (0.0587, 0.5000, 0.6711)
Pr (0.9413, 0.5000, 0.3289)
Tm (0.4551, 0.0000, 0.3418)
Tm (0.5000, 0.5000, 0.0000)
Tm (0.5449, 0.0000, 0.6582)

Output
Crystal system ... monoclinic
E above lowest polymorph ... 0.00 eV per formula unit
Symmetry ... No. 10


Material: Pm4Pr2Tm3
Method: DFT, GGA-PBE
State: relaxed

abc: 3.6245 3.6245 26.8373
angles: 90.00 90.00 120.00
Positions (direct):
Pm (0.0000, 0.0000, 0.0000)
Pm (0.0000, 0.0000, 0.2105)
Pm (0.3333, 0.6667, 0.3234)
Pm (0.3333, 0.6667, 0.5357)
Pr (0.0000, 0.0000, 0.6513)
Pr (0.0000, 0.0000, 0.8650)
Tm (0.0000, 0.0000, 0.4298)
Tm (0.3333, 0.6667, 0.1038)
Tm (0.3333, 0.6667, 0.7597)

Output
Crystal system ... trigonal
E above lowest polymorph ... 0.00 eV per formula unit
Symmetry ... No. 156


Material: Pm3Pr6Tm
Method: DFT, GGA-PBE
State: relaxed

abc: 6.7329 6.7329 9.2236
angles: 104.18 104.18 62.33
Positions (direct):
Pm (0.0000, 0.0000, 0.0000)
Pm (0.0742, 0.0742, 0.6670)
Pm (0.9258, 0.9258, 0.3330)
Pr (0.0469, 0.5724, 0.6991)
Pr (0.3756, 0.3756, 0.0821)
Pr (0.4276, 0.9531, 0.3009)
Pr (0.5724, 0.0469, 0.6991)
Pr (0.6244, 0.6244, 0.9179)
Pr (0.9531, 0.4276, 0.3009)
Tm (0.5000, 0.5000, 0.5000)

Output
Crystal system ... monoclinic
E above lowest polymorph ... 0.75 eV per formula unit
Symmetry ... No. 12


Material: Pm5Pr3Tm
Method: DFT, GGA-PBE
State: relaxed

abc: 9.4948 9.4948 12.4760
angles: 126.43 126.43 52.56
Positions (direct):
Pm (0.0193, 0.4079, 0.7761)
Pm (0.0588, 0.0588, 0.4214)
Pm (0.1818, 0.8182, 0.0000)
Pm (0.3452, 0.3452, 0.6525)
Pm (0.4079, 0.0193, 0.7761)
Pm (0.5921, 0.9807, 0.2239)
Pm (0.6548, 0.6548, 0.3475)
Pm (0.8182, 0.1818, 0.0000)
Pm (0.9412, 0.9412, 0.5786)
Pm (0.9807, 0.5921, 0.2239)
Pr (0.1379, 0.1379, 0.9445)
Pr (0.2077, 0.2077, 0.3085)
Pr (0.5000, 0.5000, 0.0000)
Pr (0.5000, 0.5000, 0.5000)
Pr (0.7923, 0.7923, 0.6915)
Pr (0.8621, 0.8621, 0.0555)
Tm (0.3865, 0.3865, 0.1261)
Tm (0.6135, 0.6135, 0.8739)

Output
Crystal system ... monoclinic
Symmetry ... No. 12


Material: Pm2PrTm5
Method: DFT, GGA-PBE
State: relaxed

abc: 9.5091 9.5091 6.4500
angles: 96.13 96.13 62.48
Positions (direct):
Pm (0.1707, 0.6792, 0.8893)
Pm (0.3208, 0.8293, 0.6107)
Pm (0.6792, 0.1707, 0.3893)
Pm (0.8293, 0.3208, 0.1107)
Pr (0.0000, 0.5000, 0.0000)
Pr (0.5000, 0.0000, 0.5000)
Tm (0.0099, 0.1892, 0.6414)
Tm (0.1892, 0.0099, 0.1414)
Tm (0.2156, 0.3966, 0.4813)
Tm (0.3966, 0.2156, 0.9813)
Tm (0.4438, 0.5562, 0.2500)
Tm (0.5562, 0.4438, 0.7500)
Tm (0.6034, 0.7844, 0.0187)
Tm (0.7844, 0.6034, 0.5187)
Tm (0.8108, 0.9901, 0.8586)
Tm (0.9901, 0.8108, 0.3586)

Output
Crystal system ... monoclinic
Symmetry ... No. 15


Material: PmPr6Tm2
Method: DFT, GGA-PBE
State: relaxed

abc: 10.9566 10.9566 5.1898
angles: 90.00 90.00 90.00
Positions (direct):
Pm (0.0000, 0.0000, 0.0000)
Pm (0.5000, 0.5000, 0.5000)
Pr (0.0013, 0.3313, 0.0000)
Pr (0.1653, 0.1653, 0.5000)
Pr (0.1687, 0.5013, 0.5000)
Pr (0.3313, 0.0013, 0.0000)
Pr (0.3347, 0.6653, 0.0000)
Pr (0.4987, 0.8313, 0.5000)
Pr (0.5013, 0.1687, 0.5000)
Pr (0.6653, 0.3347, 0.0000)
Pr (0.6687, 0.9987, 0.0000)
Pr (0.8313, 0.4987, 0.5000)
Pr (0.8347, 0.8347, 0.5000)
Pr (0.9987, 0.6687, 0.0000)
Tm (0.1668, 0.8332, 0.5000)
Tm (0.3332, 0.3332, 0.0000)
Tm (0.6668, 0.6668, 0.0000)
Tm (0.8332, 0.1668, 0.5000)

Output
Crystal system ... tetragonal
E above lowest polymorph ... 0.00 eV per formula unit
Symmetry ... No. 136


Number 1: calculated total energy -4.33 eV per atom, formation energy 0.256 eV per atom. Number 2: calculated total energy -4.33 eV per atom, formation energy 0.333 eV per atom. Number 3: calculated total energy -4.48 eV per atom, formation energy 0.157 eV per atom. Number 4: calculated total energy -4.60 eV per atom, formation energy 0.088 eV per atom. Number 5: calculated total energy -4.57 eV per atom, formation energy 0.118 eV per atom. Number 6: calculated total energy -4.50 eV per atom, formation energy 0.223 eV per atom. Number 7: calculated total energy -4.62 eV per atom, formation energy 0.066 eV per atom. Number 8: calculated total energy -4.61 eV per atom, formation energy 0.051 eV per atom. Number 9: calculated total energy -4.53 eV per atom, formation energy 0.207 eV per atom. Number 10: calculated total energy -4.35 eV per atom, formation energy 0.382 eV per atom. Number 11: calculated total energy -4.40 eV per atom, formation energy 0.183 eV per atom. Number 12: calculated total energy -4.69 eV per atom, formation energy 0.016 eV per atom.